First-principles (SCAN) data for a PBEsol-optimized structure of LiCl, as listed in the Alexandria database.

Summary:
Formation energy without anion corrections = -1939 meV per atom
Space group = Imm2 (44)

POSCAR file:
```
LiCl
1.0
-1.671 5.245 3.019
1.671 -5.245 3.019
1.671 5.245 -3.019
Li Cl
3 3
Direct
0.000 0.000 0.000 Li
0.330 0.480 0.850 Li
0.631 0.480 0.150 Li
0.024 0.685 0.338 Cl
0.347 0.685 0.662 Cl
0.676 0.176 0.500 Cl
```